5
Lattice="5.0507 0.0000 0.0000 0.0000 5.0507 0.0000 0.0000 0.0000 5.0507" Properties=species:S:1:pos:R:3 comment="TaSnGe3 | Alexandria | PBE-GGA | optimized geometry" relative_energy_ev_per_atom=0.000 formation_energy_ev_per_atom=0.4421 dft_energy_ev_per_cell=-27.497 sg="Pm-3m, No. 221" pbc="T T T"
Ge 0.0000 2.5253 0.0000
Ge 0.0000 0.0000 2.5253
Ge 2.5253 0.0000 0.0000
Ta 0.0000 0.0000 0.0000
Sn 2.5253 2.5253 2.5253

12
Lattice="5.7493 0.0000 0.0000 2.8747 7.6573 -2.4888 2.8747 -1.1400 8.8998" Properties=species:S:1:pos:R:3 comment="Sm5Dy4Sc3 | Alexandria | PBE-GGA | optimized geometry" formation_energy_ev_per_atom=0.2075 dft_energy_ev_per_cell=-58.509 sg="C2/m, No. 12" pbc="T T T"
Sm 2.8747 3.4493 -0.1061
Sm 5.7493 3.2586 3.2055
Sm 8.6240 3.0679 6.5172
Sm 8.6240 6.3273 4.6847
Sm 2.8747 0.1899 1.7264
Dy 8.6240 6.7914 1.0239
Dy 2.8747 -0.2741 5.3872
Dy 5.7493 1.6389 -0.0187
Dy 5.7493 4.8783 6.4298
Sc 5.7493 5.0020 0.6855
Sc 2.8747 3.2586 3.2055
Sc 5.7494 1.5152 5.7256

4
Lattice="-2.8329 -2.1099 3.3303 1.9777 -2.7445 3.4820 0.0632 1.5767 4.5911" Properties=species:S:1:pos:R:3 comment="LiYAg2 | Alexandria | PBE-GGA | optimized geometry" formation_energy_ev_per_atom=-0.1472 dft_energy_ev_per_cell=-14.669 sg="F-43m, No. 216" pbc="T T T"
Y -0.5940 -2.4582 8.5526
Ag -0.1980 -0.8194 2.8509
Ag 0.0000 0.0000 0.0000
Li -0.3960 -1.6388 5.7017

8
Lattice="3.9435 0.0000 0.0000 -1.9717 5.1936 0.0000 0.0000 0.0000 7.9497" Properties=species:S:1:pos:R:3 comment="LiSn2Ir | Alexandria | PBE-GGA | optimized geometry" formation_energy_ev_per_atom=-0.3188 dft_energy_ev_per_cell=-40.112 sg="Cmcm, No. 63" pbc="T T T"
Ir 0.0000 2.2690 1.9874
Ir 1.9717 2.9246 5.9623
Li 1.9717 4.5177 1.9874
Li 0.0000 0.6759 5.9623
Sn 0.0000 3.7633 4.2992
Sn 1.9717 1.4303 3.6505
Sn 1.9717 1.4303 0.3243
Sn 0.0000 3.7633 7.6253

8
Lattice="5.1119 0.0000 0.0000 0.0000 3.4643 -1.1005 -2.5559 -1.4097 13.4944" Properties=species:S:1:pos:R:3 comment="Ho3TlHg4 | Alexandria | PBE-GGA | optimized geometry" relative_energy_ev_per_atom=0.156 formation_energy_ev_per_atom=-0.2300 dft_energy_ev_per_cell=-19.147 sg="C2/m, No. 12" pbc="T T T"
Ho 2.5559 2.2509 7.0238
Ho 0.0000 1.7321 -0.5502
Ho 0.0000 -0.1963 5.3702
Hg 0.0000 0.7322 8.2318
Hg 0.0000 0.7564 2.3786
Hg 2.5559 1.3224 4.1621
Hg 2.5559 1.2982 10.0154
Tl 2.5559 0.0000 0.0000

7
Lattice="4.5586 0.0000 0.0000 0.0000 4.5250 -1.6243 0.0000 0.2167 7.7186" Properties=species:S:1:pos:R:3 comment="Ca4As2N | Alexandria | PBE-GGA | optimized geometry" relative_energy_ev_per_atom=0.099 dft_energy_ev_per_cell=-32.262 formation_energy_uncorrected_mev_per_atom=-947 sg="Cmmm, No. 65" pbc="T T T"
Ca 0.0000 3.9267 3.8242
Ca 0.0000 2.2625 -0.8121
Ca 0.0000 0.8149 2.2701
Ca 2.2793 0.0000 0.0000
N 0.0000 0.0000 0.0000
As 2.2793 1.7531 4.8837
As 2.2793 2.9886 1.2106

12
Lattice="-3.5787 -0.8560 3.9985 -4.1394 -7.1947 -1.5529 3.5011 -7.3429 5.2538" Properties=species:S:1:pos:R:3 comment="KTl2In3 | Alexandria | PBE-GGA | optimized geometry" formation_energy_ev_per_atom=-0.0575 dft_energy_ev_per_cell=-28.781 sg="C2/m, No. 12" pbc="T T T"
K -4.1238 -2.7072 3.1143
K -0.0933 -12.6865 4.5851
In -4.9692 -8.6799 4.7712
In 0.7521 -6.7138 2.9281
In -1.4982 -4.3502 5.1124
In -1.2289 -8.8724 4.3853
In -2.7188 -11.0435 2.5870
In -2.9881 -6.5214 3.3141
Tl -3.0840 -11.0449 5.9521
Tl -4.6534 -8.4941 1.4012
Tl 0.4364 -6.8996 6.2981
Tl -1.1330 -4.3488 1.7473

8
Lattice="-4.2635 2.0780 -1.5527 -1.1807 -0.0525 -4.8487 -5.6560 -6.4496 -1.1214" Properties=species:S:1:pos:R:3 comment="Tb4AgPd2Ru | Alexandria | PBE-GGA | optimized geometry" formation_energy_ev_per_atom=-0.6115 dft_energy_ev_per_cell=-45.926 sg="R-3m, No. 166" pbc="T T T"
Tb -6.9378 -0.7448 -6.0078
Tb -6.9221 -4.7567 -3.3998
Tb -4.1624 -3.6792 -1.5151
Tb -4.1782 0.3327 -4.1230
Pd -8.3347 -3.3356 -5.6396
Pd -2.7656 -1.0884 -1.8832
Ru -5.5501 -2.2120 -3.7614
Ag 0.0000 0.0000 0.0000